Crystalline Li2BiHIr at its relaxed geometry, computed with PBE.

a b c (Å): 4.245 3.750 4.245
angles (deg): 90.00 90.00 90.00
Sites, in units of the cell vectors:
Li1 0.000 0.000 0.500
Li2 0.500 0.000 0.000
Bi1 0.500 0.500 0.500
H1 0.000 0.000 0.000
Ir1 0.000 0.500 0.000

calculated total energy	-21.04	eV per formula unit
total moment	0.00	μB/f.u.